No. 1
VASP calculation (PBE) on ZrSc2Si2Rh5 after structural relaxation.

Results
Raw total energy: -7.88 eV/atom
Total magnetic moment: 0.000 Bohr magnetons per cell

Cell lengths 9.510, 9.510, 3.547 Å; angles 90.00, 90.00, 90.00 degrees
Element x y z (fractional)
Zr1 0.000 0.000 0.000
Zr2 0.500 0.500 0.000
Sc1 0.172 0.328 0.000
Sc2 0.328 0.828 0.000
Sc3 0.672 0.172 0.000
Sc4 0.828 0.672 0.000
Si1 0.124 0.624 0.000
Si2 0.376 0.124 0.000
Si3 0.624 0.876 0.000
Si4 0.876 0.376 0.000
Rh1 0.000 0.500 0.500
Rh2 0.071 0.787 0.500
Rh3 0.213 0.071 0.500
Rh4 0.287 0.571 0.500
Rh5 0.429 0.287 0.500
Rh6 0.500 0.000 0.500
Rh7 0.571 0.713 0.500
Rh8 0.713 0.429 0.500
Rh9 0.787 0.929 0.500
Rh10 0.929 0.213 0.500



No. 2
VASP calculation (PBE) on CuBSe2 after structural relaxation.

Results
Raw total energy: -4.28 eV/atom
Total magnetic moment: 0.000 Bohr magnetons per cell

Cell lengths 5.685, 5.685, 5.685 Å; angles 102.92, 102.92, 123.56 degrees
Element x y z (fractional)
Cu1 0.250 0.250 0.000
Cu2 0.750 0.750 0.000
B1 0.250 0.750 0.500
B2 0.750 0.250 0.500
Se1 0.157 0.657 0.815
Se2 0.343 0.157 0.500
Se3 0.657 0.843 0.500
Se4 0.843 0.343 0.185



No. 3
VASP calculation (PBE) on Nd4CoHCl2 after structural relaxation.

Results
Raw total energy: -4.99 eV/atom
Total magnetic moment: 0.001 Bohr magnetons per cell

Cell lengths 6.617, 3.894, 7.714 Å; angles 90.00, 106.53, 90.00 degrees
Element x y z (fractional)
Nd1 0.236 0.000 0.205
Nd2 0.255 0.500 0.798
Nd3 0.745 0.500 0.202
Nd4 0.764 0.000 0.795
Co1 0.500 0.000 0.000
H1 0.000 0.500 0.000
Cl1 0.000 0.000 0.500
Cl2 0.500 0.500 0.500



No. 4
VASP calculation (PBE) on HgRuSe2 after structural relaxation.

Results
Raw total energy: -3.54 eV/atom
Total magnetic moment: 0.000 Bohr magnetons per cell

Cell lengths 4.750, 4.750, 3.327 Å; angles 90.00, 90.00, 90.00 degrees
Element x y z (fractional)
Hg1 0.000 0.000 0.000
Ru1 0.500 0.500 0.000
Se1 0.000 0.500 0.500
Se2 0.500 0.000 0.500



No. 5
VASP calculation (PBE) on LaCu2Br after structural relaxation.

Results
Relative energy among the computed polymorphs: 165 meV per atom
Raw total energy: -4.03 eV/atom
Total magnetic moment: 0.000 Bohr magnetons per cell

Cell lengths 5.166, 5.166, 4.452 Å; angles 115.43, 115.43, 95.99 degrees
Element x y z (fractional)
La1 0.000 0.000 0.000
Cu1 0.273 0.727 0.500
Cu2 0.413 0.587 0.000
Br1 0.713 0.287 0.500



No. 6
VASP calculation (PBE) on TbTmAu2 after structural relaxation.

Results
Relative energy among the computed polymorphs: 144 meV per atom
Raw total energy: -4.66 eV/atom
Formation enthalpy at 0 K: -743 meV per atom
Total magnetic moment: 0.000 Bohr magnetons per cell

Cell lengths 7.142, 7.142, 7.142 Å; angles 34.38, 34.38, 34.38 degrees
Element x y z (fractional)
Tb1 0.000 0.000 0.000
Tm1 0.500 0.500 0.500
Au1 0.247 0.247 0.247
Au2 0.753 0.753 0.753